1.
Compound: Ho5Ag2Pb5
Source: Alexandria via LeMat-Bulk
Functional: PBE
Structure: relaxed

Cell lengths 16.6276, 4.7146, 10.4741 Å; angles 90.00, 128.74, 90.00 degrees
With the nearest neighbours (Å) after each atom.
Space group C2/m (No. 12)
Inequivalent atoms, fractional coordinates:
Ho 0.0000 0.0000 0.0000 (multiplicity 2)  6 Pb 3.25-3.36, 4 Ag 3.27, 2 Ho 3.56
Ho 0.1051 0.0000 0.4187 (multiplicity 4)  3 Ag 3.14-3.32, 7 Pb 3.29-3.50
Ho 0.1846 0.0000 0.8284 (multiplicity 4)  5 Pb 3.23-3.25, 1 Ag 3.54, 1 Ho 3.61
Ag 0.1448 0.5000 0.2657 (multiplicity 4)  3 Pb 2.85-2.89, 2 Ho 3.14
Pb 0.0000 0.5000 0.5000 (multiplicity 2)  4 Pb 3.22-3.31, 4 Ho 3.35
Pb 0.0700 0.5000 0.8737 (multiplicity 4)  1 Ag 2.89, 1 Ho 3.23
Pb 0.2449 0.5000 0.6914 (multiplicity 4)  2 Ag 2.85

Results
* raw total energy: -4.305 eV per atom
* ΔE_f: -4.53 eV/f.u.
* D(E_F): 11.45 states/eV per cell

***

2.
Compound: HoAgPb2
Source: Alexandria via LeMat-Bulk
Functional: PBE
Structure: relaxed

Cell lengths 4.7784, 4.7784, 4.4779 Å; angles 90.00, 90.00, 90.00 degrees
With the nearest neighbours (Å) after each atom.
Space group P4/mmm (No. 123)
Inequivalent atoms, fractional coordinates:
Ho 0.0000 0.0000 0.0000 (multiplicity 1)  8 Pb 3.27, 4 Ag 3.38
Ag 0.5000 0.5000 0.0000 (multiplicity 1)  8 Pb 3.27, 4 Ho 3.38
Pb 0.0000 0.5000 0.5000 (multiplicity 2)  4 Ho 3.27, 4 Ag 3.27, 4 Pb 3.38

Results
* raw total energy: -3.982 eV per atom
* ΔE_f: -1.08 eV/f.u.
* D(E_F): 0.97 states/eV per cell

***

3.
Compound: PmHoAgPb
Source: Alexandria via LeMat-Bulk
Functional: PBE
Structure: relaxed

Cell lengths 7.5484, 7.5484, 7.5484 Å; angles 90.00, 90.00, 90.00 degrees
With the nearest neighbours (Å) after each atom.
Space group F-43m (No. 216)
Inequivalent atoms, fractional coordinates:
Pm 0.0000 0.0000 0.0000 (multiplicity 4)  4 Ag 3.27, 4 Pb 3.27
Ho 0.0000 0.0000 0.5000 (multiplicity 4)  4 Pb 3.27, 4 Ag 3.27
Ag 0.2500 0.2500 0.2500 (multiplicity 4)  4 Ho 3.27, 4 Pm 3.27
Pb 0.2500 0.2500 0.7500 (multiplicity 4)  4 Ho 3.27, 4 Pm 3.27

Results
* raw total energy: -4.371 eV per atom
* ΔE_f: -1.60 eV/f.u.
* D(E_F): 13.48 states/eV per cell